The following is a DFT calculation (PBE) of a relaxed structure of MnAgOs.

a = 6.0389 Å, b = 6.0389 Å, c = 6.0389 Å
α = 153.42°, β = 153.42°, γ = 37.95°
Atoms (fractional coordinates):
Mn 0.3138 0.3138 0.0000
Ag 0.9956 0.9956 0.0000
Os 0.6906 0.6906 0.0000

Values from the calculation:
Space group: No. 107
Calculated total energy (eV per atom): -7.35
Offset from the most stable computed form (meV/atom): 43.7
Energy of formation (eV/atom): 0.41



The following is a DFT calculation (PBE) of a relaxed structure of MnAgOs2.

a = 2.7068 Å, b = 2.7068 Å, c = 9.3005 Å
α = 90.00°, β = 90.00°, γ = 116.82°
Atoms (fractional coordinates):
Mn 0.5000 0.5000 0.7640
Os 0.5000 0.5000 0.2349
Os 0.0000 0.0000 0.9921
Ag 0.0000 0.0000 0.5089

Values from the calculation:
Space group: No. 35
Calculated total energy (eV per atom): -8.06
Offset from the most stable computed form (meV/atom): 270.2
Energy of formation (eV/atom): 0.56



The following is a DFT calculation (PBE) of a relaxed structure of MnAgOs2.

a = 2.7945 Å, b = 2.7945 Å, c = 7.8370 Å
α = 90.00°, β = 90.00°, γ = 90.00°
Atoms (fractional coordinates):
Mn 0.5000 0.5000 0.7649
Ag 0.0000 0.0000 0.5028
Os 0.0000 0.0000 0.0083
Os 0.5000 0.5000 0.2240

Values from the calculation:
Space group: No. 99
Calculated total energy (eV per atom): -8.28
Offset from the most stable computed form (meV/atom): 44.0
Energy of formation (eV/atom): 0.34



The following is a DFT calculation (PBE) of a relaxed structure of MnAgOs2.

a = 7.0486 Å, b = 7.0486 Å, c = 5.5971 Å
α = 50.97°, β = 50.97°, γ = 90.00°
Atoms (fractional coordinates):
Mn 0.5000 0.5000 0.0000
Mn 0.2500 0.7500 0.5000
Os 0.5641 0.1250 0.2500
Os 0.1859 0.6250 0.2500
Os 0.3750 0.4359 0.7500
Os 0.8750 0.8141 0.7500
Ag 0.0000 0.0000 0.0000
Ag 0.7500 0.2500 0.5000

Values from the calculation:
Space group: No. 122
Calculated total energy (eV per atom): -7.71
Offset from the most stable computed form (meV/atom): 618.6
Energy of formation (eV/atom): 0.91



The following is a DFT calculation (PBE) of a relaxed structure of MnAgOs2.

a = 2.8174 Å, b = 4.6082 Å, c = 4.6662 Å
α = 90.00°, β = 90.00°, γ = 90.00°
Atoms (fractional coordinates):
Os 0.5000 0.5000 0.0000
Os 0.0000 0.0000 0.0000
Ag 0.5000 0.0000 0.5000
Mn 0.0000 0.5000 0.5000

Values from the calculation:
Space group: No. 47
Calculated total energy (eV per atom): -8.00
Offset from the most stable computed form (meV/atom): 328.0
Energy of formation (eV/atom): 0.62



The following is a DFT calculation (PBE) of a relaxed structure of MnAg3Os.

a = 5.0465 Å, b = 5.0465 Å, c = 5.0465 Å
α = 90.00°, β = 90.00°, γ = 90.00°
Atoms (fractional coordinates):
Os 0.0000 0.0000 0.0000
Ag 0.0000 0.5000 0.0000
Ag 0.0000 0.0000 0.5000
Ag 0.5000 0.0000 0.0000
Mn 0.5000 0.5000 0.5000

Values from the calculation:
Space group: No. 221
Calculated total energy (eV per atom): -4.10
Offset from the most stable computed form (meV/atom): 0.0
Energy of formation (eV/atom): 1.69



The following is a DFT calculation (PBE) of a relaxed structure of MnAgOs2.

a = 3.8371 Å, b = 2.7921 Å, c = 6.2919 Å
α = 63.61°, β = 90.00°, γ = 90.00°
Atoms (fractional coordinates):
Ag 0.0000 0.4907 0.5092
Mn 0.5000 0.7389 0.7609
Os 0.0000 0.9838 0.0162
Os 0.5000 0.2866 0.2137

Values from the calculation:
Space group: No. 25
Calculated total energy (eV per atom): -8.27
Offset from the most stable computed form (meV/atom): 63.4
Energy of formation (eV/atom): 0.35



The following is a DFT calculation (PBE) of a relaxed structure of MnAgOs2.

a = 5.0761 Å, b = 5.0761 Å, c = 4.5884 Å
α = 74.55°, β = 74.55°, γ = 31.55°
Atoms (fractional coordinates):
Mn 0.7500 0.7500 0.7500
Os 0.4730 0.4730 0.5247
Os 0.0270 0.0270 0.9753
Ag 0.2500 0.2500 0.2500

Values from the calculation:
Space group: No. 12
Calculated total energy (eV per atom): -8.21
Offset from the most stable computed form (meV/atom): 120.8
Energy of formation (eV/atom): 0.41



The following is a DFT calculation (PBE) of a relaxed structure of Mn2ReAgOs.

a = 4.7683 Å, b = 4.6966 Å, c = 4.7683 Å
α = 90.00°, β = 90.00°, γ = 90.00°
Atoms (fractional coordinates):
Os 0.0000 0.0000 0.0000
Re 0.0000 0.5000 0.0000
Ag 0.5000 0.5000 0.5000
Mn 0.0000 0.0000 0.5000
Mn 0.5000 0.0000 0.0000

Values from the calculation:
Space group: No. 123
Calculated total energy (eV per atom): -7.53
Energy of formation (eV/atom): 1.45



The following is a DFT calculation (PBE) of a relaxed structure of MnAgOs2Rh.

a = 4.6857 Å, b = 4.4564 Å, c = 4.6857 Å
α = 90.00°, β = 90.00°, γ = 90.00°
Atoms (fractional coordinates):
Ag 0.5000 0.5000 0.5000
Os 0.0000 0.0000 0.5000
Os 0.5000 0.0000 0.0000
Rh 0.0000 0.0000 0.0000
Mn 0.0000 0.5000 0.0000

Values from the calculation:
Space group: No. 123
Calculated total energy (eV per atom): -6.21
Energy of formation (eV/atom): 2.16



The following is a DFT calculation (PBE) of a relaxed structure of MnAg2OsRu.

a = 4.7159 Å, b = 4.2707 Å, c = 4.7159 Å
α = 90.00°, β = 90.00°, γ = 90.00°
Atoms (fractional coordinates):
Ru 0.0000 0.5000 0.0000
Ag 0.5000 0.0000 0.0000
Ag 0.0000 0.0000 0.5000
Os 0.5000 0.5000 0.5000
Mn 0.0000 0.0000 0.0000

Values from the calculation:
Space group: No. 123
Calculated total energy (eV per atom): -5.23
Energy of formation (eV/atom): 1.85



The following is a DFT calculation (PBE) of a relaxed structure of MnSiAg2Os.

a = 5.1023 Å, b = 4.4462 Å, c = 5.1023 Å
α = 90.00°, β = 90.00°, γ = 90.00°
Atoms (fractional coordinates):
Ag 0.5000 0.0000 0.0000
Ag 0.0000 0.0000 0.5000
Mn 0.0000 0.5000 0.0000
Os 0.0000 0.0000 0.0000
Si 0.5000 0.5000 0.5000

Values from the calculation:
Space group: No. 123
Formation energy (no corrections) (eV per atom): 1.54
Calculated total energy (eV per atom): -4.77



The following is a DFT calculation (PBE) of a relaxed structure of TaMn2AgOs.

a = 4.7994 Å, b = 4.7735 Å, c = 4.7994 Å
α = 90.00°, β = 90.00°, γ = 90.00°
Atoms (fractional coordinates):
Os 0.0000 0.0000 0.0000
Ag 0.5000 0.5000 0.5000
Mn 0.0000 0.0000 0.5000
Mn 0.5000 0.0000 0.0000
Ta 0.0000 0.5000 0.0000

Values from the calculation:
Space group: No. 123
Calculated total energy (eV per atom): -7.69
Energy of formation (eV/atom): 1.17



The following is a DFT calculation (PBE) of a relaxed structure of TiMn2AgOs.

a = 4.5306 Å, b = 4.5299 Å, c = 4.5306 Å
α = 90.00°, β = 90.00°, γ = 90.00°
Atoms (fractional coordinates):
Os 0.0000 0.5000 0.0000
Ag 0.5000 0.5000 0.5000
Mn 0.0000 0.0000 0.5000
Mn 0.5000 0.0000 0.0000
Ti 0.0000 0.0000 0.0000

Values from the calculation:
Space group: No. 123
Calculated total energy (eV per atom): -6.82
Energy of formation (eV/atom): 1.25



The following is a DFT calculation (PBE) of a relaxed structure of Mn2AgOsW.

a = 4.7912 Å, b = 4.7140 Å, c = 4.7912 Å
α = 90.00°, β = 90.00°, γ = 90.00°
Atoms (fractional coordinates):
W 0.0000 0.5000 0.0000
Os 0.0000 0.0000 0.0000
Mn 0.0000 0.0000 0.5000
Mn 0.5000 0.0000 0.0000
Ag 0.5000 0.5000 0.5000

Values from the calculation:
Space group: No. 123
Calculated total energy (eV per atom): -7.67
Energy of formation (eV/atom): 1.41



The following is a DFT calculation (PBE) of a relaxed structure of MnAgP2.

a = 2.7901 Å, b = 2.7901 Å, c = 7.3857 Å
α = 90.00°, β = 90.00°, γ = 89.98°
Atoms (fractional coordinates):
P 0.0000 0.0000 0.5661
P 0.0000 0.0000 0.9339
Mn 0.5000 0.5000 0.7500
Ag 0.5000 0.5000 0.2500

Values from the calculation:
Space group: No. 123
Calculated total energy (eV per atom): -5.69
Offset from the most stable computed form (meV/atom): 38.4
Energy of formation (eV/atom): 0.02



The following is a DFT calculation (PBE) of a relaxed structure of MnAg2P.

a = 4.6081 Å, b = 4.6081 Å, c = 4.6081 Å
α = 122.63°, β = 122.63°, γ = 85.51°
Atoms (fractional coordinates):
Ag 0.2500 0.7500 0.5000
Ag 0.0000 0.0000 0.0000
Mn 0.5000 0.5000 0.0000
P 0.7500 0.2500 0.5000

Values from the calculation:
Space group: No. 119
Calculated total energy (eV per atom): -4.78
Energy of formation (eV/atom): 0.29



The following is a DFT calculation (PBE) of a relaxed structure of MnAgP4.

a = 5.1300 Å, b = 5.1300 Å, c = 5.1300 Å
α = 60.00°, β = 60.00°, γ = 60.00°
Atoms (fractional coordinates):
P 0.3749 0.3749 0.3749
P 0.3749 0.8753 0.3749
P 0.3749 0.3749 0.8753
P 0.8753 0.3749 0.3749
Mn 0.0000 0.0000 0.0000
Ag 0.7500 0.7500 0.7500

Values from the calculation:
Space group: No. 216
Calculated total energy (eV per atom): -5.02
Energy of formation (eV/atom): 0.59



The following is a DFT calculation (PBE) of a relaxed structure of MnAgP2.

a = 7.4939 Å, b = 7.4939 Å, c = 7.4939 Å
α = 24.43°, β = 24.43°, γ = 24.43°
Atoms (fractional coordinates):
Ag 0.5031 0.5031 0.5031
P 0.2634 0.2634 0.2634
P 0.9946 0.9946 0.9946
Mn 0.7389 0.7389 0.7389

Values from the calculation:
Space group: No. 160
Calculated total energy (eV per atom): -5.46
Offset from the most stable computed form (meV/atom): 269.4
Energy of formation (eV/atom): 0.25



The following is a DFT calculation (PBE) of a relaxed structure of MnAgP2.

a = 5.2081 Å, b = 5.2081 Å, c = 5.2081 Å
α = 138.37°, β = 138.37°, γ = 60.33°
Atoms (fractional coordinates):
P 0.2500 0.7500 0.5000
P 0.0000 0.0000 0.0000
Ag 0.5000 0.5000 0.0000
Mn 0.7500 0.2500 0.5000

Values from the calculation:
Space group: No. 119
Calculated total energy (eV per atom): -5.39
Offset from the most stable computed form (meV/atom): 339.3
Energy of formation (eV/atom): 0.32